Record 1
## HgH6N3 (PBE)

Data for a relaxed structure of HgH6N3.

Cell: 4.572 4.861 6.096 Å, 102.04 91.71 94.83°
Fractional positions:
Hg: 0.000 0.000 0.000
H: 0.313 0.821 0.299
H: 0.317 0.170 0.360
H: 0.615 0.908 0.663
H: 0.677 0.408 0.593
H: 0.801 0.560 0.396
H: 0.935 0.027 0.582
N: 0.182 0.984 0.308
N: 0.610 0.521 0.475
N: 0.793 0.057 0.714

Results
The value obtained for the theoretical density is 3.1 g/cm3. The total energy comes out at -4.452 eV per atom. Its space group is P1 (1).

---

Record 2
## La3Nd3In (PBE)

Data for a relaxed structure of La3Nd3In.

Cell: 9.673 9.673 5.836 Å, 90.00 90.00 120.00°
Fractional positions:
La: 0.068 0.817 0.250
La: 0.183 0.251 0.250
La: 0.251 0.068 0.750
La: 0.749 0.932 0.250
La: 0.817 0.749 0.750
La: 0.932 0.183 0.750
Nd: 0.108 0.624 0.750
Nd: 0.376 0.484 0.750
Nd: 0.484 0.108 0.250
Nd: 0.516 0.892 0.750
Nd: 0.624 0.516 0.250
Nd: 0.892 0.376 0.250
In: 0.333 0.667 0.250
In: 0.667 0.333 0.750

Results
The value obtained for the theoretical density is 6.8 g/cm3. The formation energy is -0.10 eV per atom. The energy relative to the lowest polymorph listed for this composition comes out at 0.0 meV/atom. The total energy comes out at -4.643 eV per atom. Its space group is P6_3/m (176).

---

Record 3
## CsCuTe3As (PBE)

Data for a relaxed structure of CsCuTe3As.

Cell: 10.425 4.180 10.635 Å, 90.00 115.69 90.00°
Fractional positions:
Cs: 0.212 0.250 0.244
Cs: 0.788 0.750 0.756
Cu: 0.067 0.250 0.579
Cu: 0.933 0.750 0.421
Te: 0.135 0.250 0.849
Te: 0.209 0.750 0.551
Te: 0.480 0.750 0.154
Te: 0.520 0.250 0.846
Te: 0.791 0.250 0.449
Te: 0.865 0.750 0.151
As: 0.335 0.750 0.865
As: 0.665 0.250 0.135

Results
The value obtained for the theoretical density is 5.2 g/cm3. The calculation puts the energy relative to the elements, uncorrected at -0.3061 eV per atom. The total energy comes out at -3.477 eV per atom. Its space group is P2_1/m (11).

---

Record 4
## Nb2AlTcHg (PBE)

Data for a relaxed structure of Nb2AlTcHg.

Cell: 4.824 4.824 4.758 Å, 90.00 90.00 90.00°
Fractional positions:
Nb: 0.000 0.500 0.000
Nb: 0.500 0.000 0.000
Al: 0.000 0.000 0.500
Tc: 0.000 0.000 0.000
Hg: 0.500 0.500 0.500

Results
The value obtained for the theoretical density is 7.7 g/cm3. The formation energy is 0.78 eV per atom. The total energy comes out at -6.131 eV per atom. Its space group is P4/mmm (123).

---

Record 5
## Ta3Ni2N (PBE)

Data for a relaxed structure of Ta3Ni2N.

Cell: 6.853 6.853 6.853 Å, 90.00 90.00 90.00°
Fractional positions:
Ta: 0.046 0.125 0.796
Ta: 0.125 0.796 0.046
Ta: 0.204 0.546 0.375
Ta: 0.296 0.454 0.875
Ta: 0.375 0.204 0.546
Ta: 0.454 0.875 0.296
Ta: 0.546 0.375 0.204
Ta: 0.625 0.704 0.954
Ta: 0.704 0.954 0.625
Ta: 0.796 0.046 0.125
Ta: 0.875 0.296 0.454
Ta: 0.954 0.625 0.704
Ni: 0.069 0.931 0.431
Ni: 0.181 0.181 0.181
Ni: 0.319 0.819 0.681
Ni: 0.431 0.069 0.931
Ni: 0.569 0.569 0.569
Ni: 0.681 0.319 0.819
Ni: 0.819 0.681 0.319
Ni: 0.931 0.431 0.069
N: 0.125 0.375 0.625
N: 0.375 0.625 0.125
N: 0.625 0.125 0.375
N: 0.875 0.875 0.875

Results
The value obtained for the theoretical density is 13.9 g/cm3. The calculation puts the energy relative to the elements, uncorrected at -0.5476 eV per atom. The total energy comes out at -9.789 eV per atom. Its space group is P4_132 (213).

---

Record 6
## ThCdGe (PBE)

Data for a relaxed structure of ThCdGe.

Cell: 4.518 4.518 4.140 Å, 90.00 90.00 120.00°
Fractional positions:
Th: 0.000 0.000 0.000
Cd: 0.333 0.667 0.528
Ge: 0.667 0.333 0.466

Results
The value obtained for the theoretical density is 9.5 g/cm3. The formation energy is -0.36 eV per atom. The total energy comes out at -4.682 eV per atom. Its space group is P3m1 (156).

---

Record 7
## ZrInOsRh (PBE)

Data for a relaxed structure of ZrInOsRh.

Cell: 4.611 4.611 4.611 Å, 60.00 60.00 60.00°
Fractional positions:
Zr: 0.000 0.000 0.000
In: 0.500 0.500 0.500
Os: 0.250 0.250 0.250
Rh: 0.750 0.750 0.750

Results
The value obtained for the theoretical density is 12.0 g/cm3. The formation energy is -0.42 eV per atom. The total energy comes out at -7.883 eV per atom. Its space group is F-43m (216).

---

Record 8
## ScTi3Si (PBE)

Data for a relaxed structure of ScTi3Si.

Cell: 4.592 4.592 4.592 Å, 90.00 90.00 90.00°
Fractional positions:
Sc: 0.000 0.000 0.000
Ti: 0.000 0.000 0.500
Ti: 0.000 0.500 0.000
Ti: 0.500 0.000 0.000
Si: 0.500 0.500 0.500

Results
The value obtained for the theoretical density is 3.7 g/cm3. The energy relative to the lowest polymorph listed for this composition comes out at 1059.4 meV/atom. The calculation puts the energy relative to the elements, uncorrected at 1.2472 eV per atom. The total energy comes out at -5.841 eV per atom. Its space group is Pm-3m (221).

---

Record 9
## Ta2SiTe (PBE)

Data for a relaxed structure of Ta2SiTe.

Cell: 3.142 5.063 4.674 Å, 90.00 90.00 90.00°
Fractional positions:
Ta: 0.000 0.000 0.000
Ta: 0.500 0.500 0.233
Si: 0.500 0.000 0.483
Te: 0.000 0.500 0.731

Results
The value obtained for the theoretical density is 11.6 g/cm3. The energy relative to the lowest polymorph listed for this composition comes out at 337.6 meV/atom. The calculation puts the energy relative to the elements, uncorrected at 0.1627 eV per atom. The total energy comes out at -7.905 eV per atom. Its space group is Pmm2 (25).

---

Record 10
## TbHoSc2In4 (PBE)

Data for a relaxed structure of TbHoSc2In4.

Cell: 8.982 8.982 8.982 Å, 33.51 33.51 33.51°
Fractional positions:
Tb: 0.000 0.000 0.000
Ho: 0.500 0.500 0.500
Sc: 0.250 0.250 0.250
Sc: 0.750 0.750 0.750
In: 0.125 0.125 0.125
In: 0.375 0.375 0.375
In: 0.625 0.625 0.625
In: 0.875 0.875 0.875

Results
The value obtained for the theoretical density is 7.4 g/cm3. The formation energy is -0.43 eV per atom. The total energy comes out at -4.531 eV per atom. Its space group is R-3m (166).

---

Record 11
## SbPF (PBE)

Data for a relaxed structure of SbPF.

Cell: 8.211 8.211 8.211 Å, 158.82 146.00 40.41°
Fractional positions:
Sb: 0.149 0.149 0.000
Sb: 0.851 0.851 0.000
P: 0.280 0.000 0.280
P: 0.720 0.000 0.720
F: 0.303 0.303 0.000
F: 0.697 0.697 0.000

Results
The value obtained for the theoretical density is 5.1 g/cm3. The calculation puts the energy relative to the elements, uncorrected at -0.6606 eV per atom. The total energy comes out at -4.462 eV per atom. Its space group is Immm (71).

---

Record 12
## RbTl2Se2 (PBE)

Data for a relaxed structure of RbTl2Se2.

Cell: 7.903 7.903 7.903 Å, 143.93 143.93 51.93°
Fractional positions:
Rb: 0.000 0.000 0.000
Tl: 0.250 0.750 0.500
Tl: 0.750 0.250 0.500
Se: 0.399 0.399 0.000
Se: 0.601 0.601 0.000

Results
The value obtained for the theoretical density is 6.4 g/cm3. The energy relative to the lowest polymorph listed for this composition comes out at 65.7 meV/atom. The calculation puts the energy relative to the elements, uncorrected at -0.4998 eV per atom. The total energy comes out at -3.034 eV per atom. Its space group is I4/mmm (139).